Entry from the Alexandria database: a relaxed BaYVCuO5 crystal (PBE with a Hubbard U).

Geometry as POSCAR:
```
BaYVCuO5
1.0
-1.335 -2.989 -2.168
3.671 -1.325 -0.433
-0.813 -4.405 6.575
Ba Y V Cu O
1 1 1 1 5
Direct
0.000 0.000 0.014
0.000 0.000 0.455
0.500 0.500 0.697
0.500 0.500 0.276
0.000 0.500 0.635
0.500 0.000 0.635
0.000 0.500 0.274
0.500 0.000 0.274
0.500 0.500 0.922
```

Magnetization (μB per atom): 0.166
Calculated total energy (hartree per atom): -0.2660
Crystal system: tetragonal